Density functional theory data (GGA-PBE) for an optimized crystal structure of ScTlO2.

Summary:
**E_form (uncorrected)**: -1.2388 eV/atom
**Energy above the most stable polymorph in this dataset**: 1.172 eV per atom

a = 4.257 Å, b = 4.257 Å, c = 4.257 Å
α = 60.00°, β = 60.00°, γ = 60.00°
Fractional coordinates of all 4 atoms:
Sc 0.000 0.000 0.000
Tl 0.500 0.500 0.500
O 0.250 0.250 0.250
O 0.750 0.750 0.750